PrLuCdCo, optimized geometry, DFT PBE-GGA; magnetic moment = 0.39 μB per cell; raw total energy = -17.6 eV for the cell shown; energy of formation from the pure elements = -0.0806 eV per atom; space group = No. 216
1.0
5.091 0.000 0.000
2.546 4.409 0.000
2.546 1.470 4.157
Pr Lu Co Cd
1 1 1 1
direct
0.250 0.250 0.250 Pr
0.750 0.750 0.750 Lu
0.500 0.500 0.500 Co
0.000 0.000 0.000 Cd